1.
A plane-wave DFT calculation with GGA-PBEsol was carried out for crystalline AlFe4Si at its relaxed geometry.

Summary:
* V: 70.4 Å³ per cell
* DOS at the Fermi energy: 5.20 states/eV/cell
* crystal system: cubic
* symmetry: No. 216
* DFT total energy: -7.6448 eV/atom

Cell lengths 4.634, 4.634, 4.634 Å; angles 60.00, 60.00, 60.00 degrees
Site moments in Bohr magnetons follow the coordinates.
Element x y z (fractional)
1 Al 0.000 0.000 0.000  -0.04
2 Fe 0.375 0.375 0.375  1.80
3 Fe 0.375 0.375 0.874  1.80
4 Fe 0.874 0.375 0.375  1.80
5 Fe 0.375 0.874 0.375  1.80
6 Si 0.750 0.750 0.750  -0.02

***

2.
A plane-wave DFT calculation with GGA-PBEsol was carried out for crystalline Al2Fe3Si3 at its relaxed geometry.

Summary:
* V: 190.6 Å³ per cell
* crystal system: triclinic
* symmetry: No. 2
* DFT total energy: -7.1040 eV/atom

Cell lengths 4.558, 6.261, 7.379 Å; angles 101.81, 106.78, 100.59 degrees
Element x y z (fractional)
1 Al 0.054 0.646 0.273
2 Al 0.946 0.354 0.727
3 Al 0.413 0.675 0.051
4 Al 0.587 0.325 0.949
5 Fe 0.040 0.293 0.415
6 Fe 0.960 0.707 0.585
7 Fe 0.135 0.318 0.057
8 Fe 0.865 0.682 0.943
9 Fe 0.364 0.028 0.232
10 Fe 0.636 0.972 0.768
11 Si 0.277 0.045 0.534
12 Si 0.723 0.955 0.466
13 Si 0.543 0.412 0.347
14 Si 0.457 0.588 0.653
15 Si 0.821 0.024 0.114
16 Si 0.179 0.976 0.886

***

3.
A plane-wave DFT calculation with GGA-PBEsol was carried out for crystalline Al2FeSi at its relaxed geometry.

Summary:
* V: 50.3 Å³ per cell
* DOS at the Fermi energy: 1.88 states/eV/cell
* crystal system: tetragonal
* symmetry: No. 139
* DFT total energy: -5.8561 eV/atom

Cell lengths 3.659, 3.659, 4.563 Å; angles 113.64, 113.64, 90.00 degrees
Element x y z (fractional)
1 Si 0.500 0.500 0.000
2 Fe 0.000 0.000 0.000
3 Al 0.250 0.750 0.500
4 Al 0.750 0.250 0.500

***

4.
A plane-wave DFT calculation with GGA-PBEsol was carried out for crystalline AlFe3Si at its relaxed geometry.

Summary:
* V: 73.3 Å³ per cell
* DOS at the Fermi energy: 8.08 states/eV/cell
* crystal system: cubic
* symmetry: No. 221
* DFT total energy: -6.1599 eV/atom

Cell lengths 4.185, 4.185, 4.185 Å; angles 90.00, 90.00, 90.00 degrees
Site moments in Bohr magnetons follow the coordinates.
Element x y z (fractional)
1 Si 0.500 0.500 0.500  -0.04
2 Fe 0.000 0.500 0.000  2.08
3 Fe 0.000 0.000 0.500  2.08
4 Fe 0.500 0.000 0.000  2.08
5 Al 0.000 0.000 0.000  -0.09

***

5.
A plane-wave DFT calculation with GGA-PBEsol was carried out for crystalline TbAl9Fe4Si6 at its relaxed geometry.

Summary:
* V: 1110.1 Å³ per cell
* DOS at the Fermi energy: 8.84 states/eV/cell
* crystal system: tetragonal
* symmetry: No. 137
* DFT total energy: -6.0631 eV/atom

Cell lengths 8.587, 8.587, 15.053 Å; angles 90.00, 90.00, 90.00 degrees
Element x y z (fractional)
1 Tb 0.000 0.500 0.086
2 Tb 0.000 0.500 0.586
3 Tb 0.500 0.000 0.414
4 Tb 0.500 0.000 0.914
5 Al 0.317 0.000 0.089
6 Al 0.500 0.500 0.273
7 Al 0.000 0.000 0.773
8 Al 0.000 0.000 0.227
9 Al 0.500 0.500 0.727
10 Al 0.500 0.656 0.898
11 Al 0.500 0.344 0.898
12 Al 0.656 0.500 0.102
13 Al 0.156 0.000 0.398
14 Al 0.844 0.000 0.398
15 Al 0.000 0.156 0.602
16 Al 0.000 0.844 0.602
17 Al 0.344 0.500 0.102
18 Al 0.704 0.254 0.331
19 Al 0.296 0.746 0.331
20 Al 0.254 0.704 0.669
21 Al 0.754 0.796 0.831
22 Al 0.246 0.204 0.831
23 Al 0.796 0.754 0.169
24 Al 0.204 0.246 0.169
25 Al 0.746 0.296 0.669
26 Al 0.500 0.817 0.589
27 Al 0.500 0.183 0.589
28 Al 0.817 0.500 0.411
29 Al 0.183 0.500 0.411
30 Al 0.683 0.000 0.089
31 Al 0.000 0.317 0.911
32 Al 0.000 0.683 0.911
33 Al 0.754 0.204 0.831
34 Al 0.796 0.246 0.169
35 Al 0.704 0.746 0.331
36 Al 0.254 0.296 0.669
37 Al 0.746 0.704 0.669
38 Al 0.246 0.796 0.831
39 Al 0.204 0.754 0.169
40 Al 0.296 0.254 0.331
41 Fe 0.255 0.745 0.500
42 Fe 0.755 0.755 0.000
43 Fe 0.245 0.245 0.000
44 Fe 0.745 0.255 0.500
45 Fe 0.245 0.755 0.000
46 Fe 0.745 0.745 0.500
47 Fe 0.255 0.255 0.500
48 Fe 0.755 0.245 0.000
49 Fe 0.778 0.500 0.250
50 Fe 0.222 0.500 0.250
51 Fe 0.500 0.222 0.750
52 Fe 0.000 0.722 0.750
53 Fe 0.000 0.278 0.750
54 Fe 0.722 0.000 0.250
55 Fe 0.278 0.000 0.250
56 Fe 0.500 0.778 0.750
57 Si 0.343 0.500 0.557
58 Si 0.657 0.500 0.557
59 Si 0.157 0.000 0.943
60 Si 0.000 0.843 0.057
61 Si 0.000 0.157 0.057
62 Si 0.500 0.239 0.061
63 Si 0.261 0.000 0.561
64 Si 0.739 0.000 0.561
65 Si 0.000 0.261 0.439
66 Si 0.000 0.739 0.439
67 Si 0.500 0.761 0.061
68 Si 0.239 0.500 0.939
69 Si 0.761 0.500 0.939
70 Si 0.638 0.000 0.721
71 Si 0.500 0.138 0.221
72 Si 0.500 0.862 0.221
73 Si 0.138 0.500 0.779
74 Si 0.862 0.500 0.779
75 Si 0.362 0.000 0.721
76 Si 0.000 0.638 0.279
77 Si 0.843 0.000 0.943
78 Si 0.500 0.343 0.443
79 Si 0.500 0.657 0.443
80 Si 0.000 0.362 0.279

***

6.
A plane-wave DFT calculation with GGA-PBEsol was carried out for crystalline TiAl2FeSi at its relaxed geometry.

Summary:
* V: 84.4 Å³ per cell
* DOS at the Fermi energy: 3.49 states/eV/cell
* crystal system: tetragonal
* symmetry: No. 123
* DFT total energy: -5.5915 eV/atom

Cell lengths 4.045, 4.567, 4.567 Å; angles 90.00, 90.00, 90.00 degrees
Element x y z (fractional)
1 Si 0.000 0.000 0.000
2 Al 0.000 0.000 0.500
3 Al 0.000 0.500 0.000
4 Fe 0.500 0.000 0.000
5 Ti 0.500 0.500 0.500

***

7.
A plane-wave DFT calculation with GGA-PBEsol was carried out for crystalline Sm2Al4Fe13 at its relaxed geometry.

Summary:
* V: 249.0 Å³ per cell
* DOS at the Fermi energy: 21.18 states/eV/cell
* crystal system: trigonal
* symmetry: No. 160
* DFT total energy: -7.6094 eV/atom
* energy of formation from the pure elements: -0.079 eV per atom

Cell lengths 6.357, 6.357, 6.357 Å; angles 81.38, 81.38, 81.38 degrees
Site moments in Bohr magnetons follow the coordinates.
Element x y z (fractional)
1 Sm 0.659 0.659 0.659  -0.18
2 Sm 0.340 0.340 0.340  -0.15
3 Al 0.089 0.089 0.089  -0.05
4 Al 0.997 0.511 0.997  -0.06
5 Al 0.997 0.997 0.511  -0.06
6 Al 0.511 0.997 0.997  -0.06
7 Fe 0.298 0.001 0.706  2.01
8 Fe 0.706 0.298 0.001  2.01
9 Fe 0.001 0.706 0.298  2.01
10 Fe 0.298 0.706 0.001  2.01
11 Fe 0.001 0.298 0.706  2.01
12 Fe 0.706 0.001 0.298  2.01
13 Fe 0.341 0.828 0.341  1.05
14 Fe 0.341 0.341 0.828  1.05
15 Fe 0.828 0.341 0.341  1.05
16 Fe 0.656 0.175 0.656  1.36
17 Fe 0.656 0.656 0.175  1.36
18 Fe 0.175 0.656 0.656  1.36
19 Fe 0.903 0.903 0.903  2.05

***

8.
A plane-wave DFT calculation with GGA-PBEsol was carried out for crystalline SmAl9Fe3 at its relaxed geometry.

Summary:
* V: 199.5 Å³ per cell
* DOS at the Fermi energy: 5.78 states/eV/cell
* crystal system: monoclinic
* symmetry: No. 12
* DFT total energy: -5.6787 eV/atom
* energy of formation from the pure elements: -0.386 eV per atom

Cell lengths 5.063, 6.711, 6.798 Å; angles 82.16, 68.14, 68.51 degrees
Site moments in Bohr magnetons follow the coordinates.
Element x y z (fractional)
1 Fe 0.500 0.500 0.000  -0.04
2 Fe 0.000 0.000 0.500  -0.01
3 Fe 0.500 0.000 0.500  -0.01
4 Sm 0.000 0.000 0.000  -0.01
5 Al 0.710 0.785 0.773  -0.01
6 Al 0.290 0.215 0.227  -0.01
7 Al 0.517 0.215 0.773  -0.01
8 Al 0.483 0.785 0.227  -0.01
9 Al 0.646 0.338 0.355  -0.01
10 Al 0.354 0.662 0.645  0.00
11 Al 0.000 0.662 0.355  0.60
12 Al 0.000 0.338 0.645  1.37
13 Al 0.000 0.500 0.000  1.37

***

9.
A plane-wave DFT calculation with GGA-PBEsol was carried out for crystalline AlFe2Sn at its relaxed geometry.

Summary:
* V: 51.7 Å³ per cell
* DOS at the Fermi energy: 4.59 states/eV/cell
* crystal system: cubic
* symmetry: No. 225
* DFT total energy: -6.6431 eV/atom
* energy of formation from the pure elements: -0.074 eV per atom

Cell lengths 4.181, 4.181, 4.181 Å; angles 60.00, 60.00, 60.00 degrees
Site moments in Bohr magnetons follow the coordinates.
Element x y z (fractional)
1 Al 0.000 0.000 0.000  -0.01
2 Sn 0.500 0.500 0.500  -0.01
3 Fe 0.250 0.250 0.250  0.18
4 Fe 0.750 0.750 0.750  0.18

***

10.
A plane-wave DFT calculation with GGA-PBEsol was carried out for crystalline YAlFe2Sn at its relaxed geometry.

Summary:
* V: 121.3 Å³ per cell
* DOS at the Fermi energy: 5.86 states/eV/cell
* crystal system: tetragonal
* symmetry: No. 123
* DFT total energy: -5.0411 eV/atom
* energy of formation from the pure elements: 1.579 eV per atom

Cell lengths 4.645, 4.645, 5.621 Å; angles 90.00, 90.00, 90.00 degrees
Site moments in Bohr magnetons follow the coordinates.
Element x y z (fractional)
1 Y 0.000 0.000 0.000  -0.29
2 Al 0.500 0.500 0.500  0.02
3 Sn 0.000 0.000 0.500  0.01
4 Fe 0.000 0.500 0.000  2.32
5 Fe 0.500 0.000 0.000  2.32

***

11.
A plane-wave DFT calculation with GGA-PBEsol was carried out for crystalline SrAl2Fe at its relaxed geometry.

Summary:
* V: 71.2 Å³ per cell
* DOS at the Fermi energy: 1.91 states/eV/cell
* crystal system: tetragonal
* symmetry: No. 123
* DFT total energy: -4.8074 eV/atom
* energy of formation from the pure elements: -0.061 eV per atom

Cell lengths 3.033, 3.033, 7.743 Å; angles 90.00, 90.00, 90.00 degrees
Element x y z (fractional)
1 Sr 0.500 0.500 0.000
2 Fe 0.500 0.500 0.500
3 Al 0.000 0.000 0.331
4 Al 0.000 0.000 0.669

***

12.
A plane-wave DFT calculation with GGA-PBEsol was carried out for crystalline Sr3AlFe at its relaxed geometry.

Summary:
* V: 226.7 Å³ per cell
* DOS at the Fermi energy: 8.06 states/eV/cell
* crystal system: cubic
* symmetry: No. 221
* DFT total energy: -2.8244 eV/atom
* energy of formation from the pure elements: 0.891 eV per atom

Cell lengths 6.097, 6.097, 6.097 Å; angles 90.00, 90.00, 90.00 degrees
Site moments in Bohr magnetons follow the coordinates.
Element x y z (fractional)
1 Sr 0.000 0.500 0.000  -0.03
2 Sr 0.000 0.000 0.500  -0.03
3 Sr 0.500 0.000 0.000  -0.03
4 Fe 0.500 0.500 0.500  3.14
5 Al 0.000 0.000 0.000  -0.01

***

Total moment values, unit μB per cell, following the record order: 7.03, 0.00, 0.00, 5.88, 0.00, 0.00, 20.14, 3.02, 0.32, 4.49, 0.00, 2.74.